[1]
Material: BeTe2RuN
Method: DFT, PBE-GGA
State: optimized geometry

The formation energy from raw total energies comes out at 0.658 eV per atom. The symmetry is P4/mmm (123).

a = 5.417 Å, b = 5.417 Å, c = 3.617 Å
α = 90.00°, β = 90.00°, γ = 90.00°
Atoms (fractional coordinates):
Ru (0.000, 0.000, 0.000)
Te (0.000, 0.500, 0.000)
Te (0.500, 0.000, 0.000)
Be (0.500, 0.500, 0.500)
N (0.000, 0.000, 0.500)


[2]
Material: Pm6Er3Th
Method: DFT, PBE-GGA
State: optimized geometry

The symmetry is P2_1/c (14). Its formation energy from the elements is 0.2158 eV/atom.

a = 5.003 Å, b = 11.059 Å, c = 13.447 Å
α = 90.00°, β = 111.57°, γ = 90.00°
Atoms (fractional coordinates):
Pm (0.361, 0.836, 0.859)
Pm (0.503, 0.802, 0.503)
Pm (0.221, 0.494, 0.218)
Pm (0.779, 0.506, 0.782)
Pm (0.497, 0.198, 0.497)
Pm (0.639, 0.164, 0.141)
Pm (0.861, 0.664, 0.359)
Pm (0.003, 0.698, 0.003)
Pm (0.721, 0.006, 0.718)
Pm (0.279, 0.994, 0.282)
Pm (0.997, 0.302, 0.997)
Pm (0.139, 0.336, 0.641)
Er (0.370, 0.158, 0.868)
Er (0.500, 0.500, 0.000)
Er (0.630, 0.842, 0.132)
Er (0.870, 0.342, 0.368)
Er (0.000, 0.000, 0.500)
Er (0.130, 0.658, 0.632)
Th (0.500, 0.500, 0.500)
Th (0.000, 0.000, 0.000)


[3]
Material: Cd6CuPd5
Method: DFT, PBE-GGA
State: optimized geometry

The symmetry is Immm (71). Its formation energy from the elements is -0.3208 eV/atom.

a = 4.261 Å, b = 7.772 Å, c = 7.720 Å
α = 120.23°, β = 105.99°, γ = 90.00°
Atoms (fractional coordinates):
Cu (0.000, 0.000, 0.000)
Pd (0.659, 0.159, 0.319)
Pd (0.331, 0.331, 0.663)
Pd (0.000, 0.500, 0.000)
Pd (0.669, 0.669, 0.337)
Pd (0.341, 0.841, 0.681)
Cd (0.833, 0.582, 0.666)
Cd (0.833, 0.085, 0.666)
Cd (0.500, 0.746, 0.000)
Cd (0.500, 0.254, 0.000)
Cd (0.167, 0.915, 0.334)
Cd (0.167, 0.418, 0.334)


[4]
Material: NaPm2Zn
Method: DFT, PBE-GGA
State: optimized geometry

The symmetry is R-3m (166). Its formation energy from the elements is 0.0826 eV/atom.

a = 3.563 Å, b = 3.563 Å, c = 11.934 Å
α = 81.41°, β = 81.41°, γ = 60.00°
Atoms (fractional coordinates):
Na (0.000, 0.000, 0.000)
Zn (0.500, 0.500, 0.500)
Pm (0.103, 0.103, 0.691)
Pm (0.897, 0.897, 0.309)


[5]
Material: Hf2AlAgBr
Method: DFT, PBE-GGA
State: optimized geometry

The formation energy from raw total energies comes out at 0.819 eV per atom. The symmetry is P4/mmm (123).

a = 5.274 Å, b = 4.639 Å, c = 5.274 Å
α = 90.00°, β = 90.00°, γ = 90.00°
Atoms (fractional coordinates):
Hf (0.000, 0.000, 0.500)
Hf (0.500, 0.000, 0.000)
Br (0.500, 0.500, 0.500)
Ag (0.000, 0.000, 0.000)
Al (0.000, 0.500, 0.000)


[6]
Material: Pr2Sm8Dy
Method: DFT, PBE-GGA
State: optimized geometry

The symmetry is C2/m (12). Its formation energy from the elements is 0.1524 eV/atom.

a = 6.797 Å, b = 10.353 Å, c = 10.353 Å
α = 38.37°, β = 59.47°, γ = 59.47°
Atoms (fractional coordinates):
Pr (0.592, 0.803, 0.803)
Pr (0.408, 0.197, 0.197)
Sm (0.229, 0.350, 0.825)
Sm (0.771, 0.175, 0.650)
Sm (0.177, 0.756, 0.756)
Sm (0.823, 0.244, 0.244)
Sm (0.229, 0.825, 0.350)
Sm (0.771, 0.650, 0.175)
Sm (0.732, 0.589, 0.589)
Sm (0.268, 0.411, 0.411)
Dy (0.000, 0.000, 0.000)


[7]
Material: Tb5Tl2HgIr2
Method: DFT, PBE-GGA
State: optimized geometry

The symmetry is P4/mbm (127). Its formation energy from the elements is -0.5321 eV/atom.

a = 3.669 Å, b = 12.017 Å, c = 12.017 Å
α = 90.00°, β = 90.00°, γ = 90.00°
Atoms (fractional coordinates):
Tb (0.500, 0.205, 0.078)
Tb (0.500, 0.795, 0.922)
Tb (0.500, 0.078, 0.795)
Tb (0.500, 0.705, 0.422)
Tb (0.500, 0.922, 0.205)
Tb (0.500, 0.295, 0.578)
Tb (0.500, 0.578, 0.705)
Tb (0.500, 0.422, 0.295)
Tb (0.500, 0.500, 0.000)
Tb (0.500, 0.000, 0.500)
Tl (0.000, 0.672, 0.172)
Tl (0.000, 0.328, 0.828)
Tl (0.000, 0.172, 0.328)
Tl (0.000, 0.828, 0.672)
Hg (0.000, 0.000, 0.000)
Hg (0.000, 0.500, 0.500)
Ir (0.000, 0.131, 0.631)
Ir (0.000, 0.869, 0.369)
Ir (0.000, 0.631, 0.869)
Ir (0.000, 0.369, 0.131)


[8]
Material: Ac2HoAl4Pt3
Method: DFT, PBE-GGA
State: optimized geometry

The symmetry is P-4m2 (115). Its formation energy from the elements is -0.8766 eV/atom.

a = 4.381 Å, b = 4.381 Å, c = 11.673 Å
α = 90.00°, β = 90.00°, γ = 90.00°
Atoms (fractional coordinates):
Ac (0.500, 0.000, 0.230)
Ac (0.000, 0.500, 0.770)
Ho (0.500, 0.500, 0.500)
Al (0.500, 0.500, 0.000)
Al (0.000, 0.000, 0.000)
Al (0.500, 0.000, 0.663)
Al (0.000, 0.500, 0.337)
Pt (0.000, 0.000, 0.500)
Pt (0.500, 0.000, 0.881)
Pt (0.000, 0.500, 0.119)


[9]
Material: Li2CePaTe4
Method: DFT, PBE-GGA
State: optimized geometry

The formation energy from raw total energies comes out at -1.027 eV per atom. The symmetry is P2/m (10).

a = 4.333 Å, b = 7.573 Å, c = 7.600 Å
α = 109.10°, β = 90.00°, γ = 90.00°
Atoms (fractional coordinates):
Li (0.500, 0.000, 0.500)
Li (0.000, 0.500, 0.500)
Ce (0.000, 0.000, 0.000)
Pa (0.500, 0.500, 0.000)
Te (0.500, 0.262, 0.265)
Te (0.500, 0.738, 0.735)
Te (0.000, 0.251, 0.737)
Te (0.000, 0.749, 0.263)


[10]
Material: Cr4NiAu
Method: DFT, PBE-GGA
State: optimized geometry

The symmetry is F-43m (216). Its formation energy from the elements is 0.2821 eV/atom.

a = 4.757 Å, b = 4.757 Å, c = 4.757 Å
α = 60.00°, β = 60.00°, γ = 60.00°
Atoms (fractional coordinates):
Cr (0.869, 0.377, 0.377)
Cr (0.377, 0.377, 0.869)
Cr (0.377, 0.869, 0.377)
Cr (0.377, 0.377, 0.377)
Ni (0.750, 0.750, 0.750)
Au (0.000, 0.000, 0.000)


[11]
Material: AcMgZnPd3
Method: DFT, PBE-GGA
State: optimized geometry

The symmetry is Cmcm (63). Its formation energy from the elements is -0.5037 eV/atom.

a = 7.209 Å, b = 5.941 Å, c = 6.829 Å
α = 115.78°, β = 90.00°, γ = 90.00°
Atoms (fractional coordinates):
Ac (0.750, 0.321, 0.643)
Ac (0.250, 0.679, 0.357)
Mg (0.250, 0.375, 0.751)
Mg (0.750, 0.625, 0.249)
Zn (0.250, 0.939, 0.879)
Zn (0.750, 0.061, 0.121)
Pd (0.250, 0.157, 0.313)
Pd (0.000, 0.264, 0.000)
Pd (0.500, 0.736, 0.000)
Pd (0.500, 0.264, 0.000)
Pd (0.000, 0.736, 0.000)
Pd (0.750, 0.843, 0.687)


[12]
Material: AcDyY4
Method: DFT, PBE-GGA
State: optimized geometry

The symmetry is Amm2 (38). Its formation energy from the elements is 0.0367 eV/atom.

a = 3.709 Å, b = 5.808 Å, c = 9.748 Å
α = 90.00°, β = 100.97°, γ = 90.00°
Atoms (fractional coordinates):
Ac (0.858, 0.001, 0.474)
Dy (0.635, 0.501, 0.027)
Y (0.974, 0.501, 0.705)
Y (0.300, 0.501, 0.357)
Y (0.188, 0.001, 0.133)
Y (0.529, 0.001, 0.815)


no.,total energy (eV per cell)
1,-24.3
2,-94.9
3,-39.4
4,-11.8
5,-24.1
6,-50.2
7,-102.5
8,-54.7
9,-40.0
10,-45.9
11,-51.2
12,-34.3